1.
## BaNaBCl2 (PBE)

Data for an optimized crystal structure of BaNaBCl2.

a b c (Å): 5.301 5.301 5.268
angles (deg): 90.00 90.00 90.00
Space group P4/mmm (No. 123)
Asymmetric unit:
1 Ba 0.000 0.000 0.000 x1
2 Na 0.500 0.500 0.000 x1
3 B 0.000 0.000 0.500 x1
4 Cl 0.000 0.500 0.500 x2

Values from the calculation:
The calculation puts the energy relative to the elements, uncorrected at -17 meV per atom. The calculation puts the density of states at the Fermi level at 2.874 states/eV/f.u. For the magnetic moment, the calculation gives 0.000 Bohr magnetons per cell.


2.
## K4ZnAg4 (PBE)

Data for an optimized crystal structure of K4ZnAg4.

a b c (Å): 9.774 9.774 6.505
angles (deg): 90.00 90.00 90.00
Space group P4_2/n (No. 86, origin choice 2)
Asymmetric unit:
1 K 0.057 0.824 0.100 x8
2 Zn 0.250 0.250 0.750 x2
3 Ag 0.105 0.207 0.406 x8

Values from the calculation:
The formation energy comes out at 77 meV per atom. The calculation puts the density of states at the Fermi level at 2.872 states/eV/f.u. For the magnetic moment, the calculation gives 0.000 Bohr magnetons per cell.


3.
## Mg2CSe (PBE)

Data for an optimized crystal structure of Mg2CSe.

a b c (Å): 6.317 6.317 6.317
angles (deg): 90.00 90.00 90.00
Space group Fm-3m (No. 225)
Asymmetric unit:
1 Mg 0.250 0.250 0.250 x8
2 C 0.000 0.000 0.000 x4
3 Se 0.000 0.000 0.500 x4

Values from the calculation:
The value obtained for the distance to the lowest polymorph of the same formula is 1.357 eV per formula unit. The calculation puts the energy relative to the elements, uncorrected at 602 meV per atom. The calculation puts the density of states at the Fermi level at 2.783 states/eV/f.u. For the magnetic moment, the calculation gives 0.000 Bohr magnetons per cell.


4.
## Tc2HgAs (PBE)

Data for an optimized crystal structure of Tc2HgAs.

a b c (Å): 3.089 5.037 8.666
angles (deg): 90.00 90.00 90.00
Space group Cmmm (No. 65)
Asymmetric unit:
1 Tc 0.000 0.000 0.218 x4
2 Hg 0.000 0.500 0.500 x2
3 As 0.000 0.500 0.000 x2

Values from the calculation:
The formation energy comes out at 473 meV per atom. The value obtained for the distance to the lowest polymorph of the same formula is 1.367 eV per formula unit. The calculation puts the density of states at the Fermi level at 4.060 states/eV/f.u. For the magnetic moment, the calculation gives 0.002 Bohr magnetons per cell.


5.
## ScCu2Os (PBE)

Data for an optimized crystal structure of ScCu2Os.

a b c (Å): 2.755 3.868 5.540
angles (deg): 90.00 90.00 90.00
Space group Pmm2 (No. 25)
Asymmetric unit:
1 Sc 0.000 0.000 0.000 x1
2 Cu 0.000 0.000 0.498 x1
3 Cu 0.500 0.500 0.280 x1
4 Os 0.500 0.500 0.745 x1

Values from the calculation:
The formation energy comes out at 36 meV per atom. The value obtained for the distance to the lowest polymorph of the same formula is 0.374 eV per formula unit. The calculation puts the density of states at the Fermi level at 1.146 states/eV/f.u. For the magnetic moment, the calculation gives 0.000 Bohr magnetons per cell.


6.
## Cu3Ru (PBE)

Data for an optimized crystal structure of Cu3Ru.

a b c (Å): 4.493 8.627 5.215
angles (deg): 90.00 90.00 90.00
Space group Pnma (No. 62)
Asymmetric unit:
1 Cu 0.077 0.250 0.141 x4
2 Cu 0.248 0.005 0.382 x8
3 Ru 0.074 0.250 0.645 x4

Values from the calculation:
The formation energy comes out at 153 meV per atom. The calculation puts the density of states at the Fermi level at 3.525 states/eV/f.u. For the magnetic moment, the calculation gives 0.000 Bohr magnetons per cell.


7.
## NaBPd2 (PBE)

Data for an optimized crystal structure of NaBPd2.

a b c (Å): 5.297 9.307 5.448
angles (deg): 90.00 90.12 90.00
Space group C2/c (No. 15)
Asymmetric unit:
1 Na 0.250 0.250 0.000 x4
2 B 0.000 0.000 0.250 x4
3 Pd 0.234 0.437 0.499 x8

Values from the calculation:
The formation energy comes out at -60 meV per atom. The calculation puts the density of states at the Fermi level at 1.781 states/eV/f.u. For the magnetic moment, the calculation gives 0.000 Bohr magnetons per cell.


8.
## LaAu3N (PBE)

Data for an optimized crystal structure of LaAu3N.

a b c (Å): 4.649 4.649 4.649
angles (deg): 90.00 90.00 90.00
Space group Pm-3m (No. 221)
Asymmetric unit:
1 La 0.000 0.000 0.000 x1
2 Au 0.000 0.500 0.500 x3
3 N 0.500 0.500 0.500 x1

Values from the calculation:
The value obtained for the distance to the lowest polymorph of the same formula is 0.000 eV per formula unit. The calculation puts the energy relative to the elements, uncorrected at 243 meV per atom. The calculation puts the density of states at the Fermi level at 4.579 states/eV/f.u. For the magnetic moment, the calculation gives 0.000 Bohr magnetons per cell.


Which of these has the lowest density of states at the Fermi level?
ScCu2Os


Look up the magnetic moment of the fourth one.
0.002 Bohr magnetons per cell


Among the records above, which one has the highest magnetic moment?
Tc2HgAs